Computed, not measured: PrPbW2O8 after structural relaxation at the GGA+U level of DFT.

crystal system = trigonal
uncorrected energy = -7.169 eV per atom

Lattice parameters (Å, degrees): 5.487 5.487 9.454 90.00 90.00 120.00
Positions (direct):
Pr  0.000  0.000  0.000
Pb  0.000  0.000  0.500
W  0.333  0.667  0.232
W  0.667  0.333  0.768
O  0.034  0.351  0.161
O  0.316  0.966  0.161
O  0.333  0.667  0.424
O  0.351  0.316  0.839
O  0.649  0.684  0.161
O  0.667  0.333  0.576
O  0.684  0.034  0.839
O  0.966  0.649  0.839